No. 1
This record from Alexandria via LeMat-Bulk describes a relaxed structure of AcTmSi. The functional is PBE.

a b c (Å): 12.217 4.452 8.376
angles (deg): 90.00 128.84 90.00
Space group C2/m (No. 12)
One atom of each set of equivalent atoms:
1 Ac 0.081 0.000 0.343 (multiplicity 4)
2 Tm 0.190 0.500 0.084 (multiplicity 4)
3 Si 0.124 0.500 0.670 (multiplicity 4)

Values from the calculation:
Its formation energy without anion corrections is -42.7 kJ/mol of atoms. The density of states at the Fermi level is 1.11 states/eV/atom. The calculation puts the total magnetization at 0.000 μB per atom. The calculation puts the total energy at -15.33 eV per formula unit. As for the distance to the lowest polymorph of the same formula: 0.000 eV per atom.

No. 2
This record from Alexandria via LeMat-Bulk describes a relaxed structure of Y4ScAg. The functional is PBE.

a b c (Å): 8.885 13.974 5.931
angles (deg): 90.00 108.52 90.00
Space group C2/c (No. 15)
One atom of each set of equivalent atoms:
1 Y 0.109 0.188 0.063 (multiplicity 8)
2 Y 0.209 0.411 0.350 (multiplicity 8)
3 Sc 0.000 0.386 0.750 (multiplicity 4)
4 Ag 0.000 0.000 0.250 (multiplicity 4)

Values from the calculation:
The density of states at the Fermi level is 1.60 states/eV/atom. The calculation puts the formation energy at 1.1 kJ per mole of atoms. The calculation puts the total magnetization at 0.000 μB per atom. The calculation puts the total energy at -34.97 eV per formula unit. As for the distance to the lowest polymorph of the same formula: 0.077 eV per atom.

No. 3
This record from Alexandria via LeMat-Bulk describes a relaxed structure of Cs3RbCo2Br8. The functional is PBE.

a b c (Å): 7.9238 7.9238 11.4197
angles (deg): 90.00 90.00 120.00
Space group P-3m1 (No. 164)
One atom of each set of equivalent atoms:
1 Cs 0.0000 0.0000 0.0000 (multiplicity 1)
2 Cs 0.3333 0.6667 0.7031 (multiplicity 2)
3 Rb 0.0000 0.0000 0.5000 (multiplicity 1)
4 Co 0.3333 0.6667 0.2134 (multiplicity 2)
5 Br 0.1691 0.3383 0.2865 (multiplicity 6)
6 Br 0.3333 0.6667 0.0061 (multiplicity 2)

Values from the calculation:
Its formation energy without anion corrections is -111.1 kJ/mol of atoms. The calculation puts the total magnetization at 0.429 μB per atom. The calculation puts the total energy at -47.24 eV per formula unit.

No. 4
This record from Alexandria via LeMat-Bulk describes a relaxed structure of W3SBr. The functional is PBE.

a b c (Å): 4.502 4.502 4.502
angles (deg): 90.00 90.00 90.00
Space group Pm-3m (No. 221)
One atom of each set of equivalent atoms:
1 W 0.000 0.000 0.500 (multiplicity 3)
2 S 0.000 0.000 0.000 (multiplicity 1)
3 Br 0.500 0.500 0.500 (multiplicity 1)

Values from the calculation:
Its formation energy without anion corrections is 145.4 kJ/mol of atoms. The density of states at the Fermi level is 0.95 states/eV/atom. The calculation puts the total magnetization at 0.000 μB per atom. The calculation puts the total energy at -37.12 eV per formula unit. As for the distance to the lowest polymorph of the same formula: 0.000 eV per atom.

No. 5
This record from Alexandria via LeMat-Bulk describes a relaxed structure of Pm5Eu. The functional is PBE.

a b c (Å): 5.211 15.587 5.208
angles (deg): 90.00 90.00 90.00
Space group Cmmm (No. 65)
One atom of each set of equivalent atoms:
1 Pm 0.000 0.000 0.000 (multiplicity 2)
2 Pm 0.000 0.170 0.500 (multiplicity 4)
3 Pm 0.000 0.330 0.000 (multiplicity 4)
4 Eu 0.000 0.500 0.500 (multiplicity 2)

Values from the calculation:
The density of states at the Fermi level is 1.54 states/eV/atom. The calculation puts the formation energy at 4.1 kJ per mole of atoms. The calculation puts the total magnetization at 1.218 μB per atom. The calculation puts the total energy at -33.77 eV per formula unit.

No. 6
This record from Alexandria via LeMat-Bulk describes a relaxed structure of CdCo2Br. The functional is PBE.

a b c (Å): 3.167 4.570 11.249
angles (deg): 90.00 90.00 90.00
Space group Imm2 (No. 44)
One atom of each set of equivalent atoms:
1 Cd 0.000 0.000 0.000 (multiplicity 2)
2 Co 0.000 0.000 0.476 (multiplicity 2)
3 Co 0.000 0.500 0.119 (multiplicity 2)
4 Br 0.000 0.500 0.786 (multiplicity 2)

Values from the calculation:
Its formation energy without anion corrections is 42.5 kJ/mol of atoms. The density of states at the Fermi level is 0.81 states/eV/atom. The calculation puts the total magnetization at 0.928 μB per atom. The calculation puts the total energy at -15.04 eV per formula unit. As for the distance to the lowest polymorph of the same formula: 0.114 eV per atom.